Version i
The following is a DFT calculation (PBEsol) of a geometry-optimized CrIn2Ag structure.

Cell: 3.6060 3.6060 5.9451 Å, 90.00 90.00 90.00°
Closest atoms and distances in Å follow each position.
Space group P4mm (No. 99)
Unique sites:
1 Cr 0.0000 0.0000 0.0000 [1 per cell]  6 In 2.85-3.10, 4 Ag 2.93
2 In 0.0000 0.0000 0.5208 [1 per cell]  2 Cr 2.85-3.10, 4 Ag 2.91, 4 In 3.10
3 In 0.5000 0.5000 0.2253 [1 per cell]  1 Ag 2.79, 4 Cr 2.88, 4 In 3.10
4 Ag 0.5000 0.5000 0.7559 [1 per cell]  5 In 2.79-2.91, 4 Cr 2.93

Properties
Size of the total moment in μB/cell: 3.991
Crystal system: tetragonal


Version ii
The following is a DFT calculation (PBEsol) of a geometry-optimized CrIn2Ag structure.

Cell: 3.1472 3.1472 26.9024 Å, 90.00 90.00 120.00°
Closest atoms and distances in Å follow each position.
Space group R-3m (No. 166, hexagonal axes)
Unique sites:
1 Cr 0.0000 0.0000 0.0000 [3 per cell]  6 In 2.85, 6 Cr 3.15
2 In 0.0000 0.0000 0.2518 [6 per cell]  3 Cr 2.85, 3 Ag 2.92, 6 In 3.15
3 Ag 0.0000 0.0000 0.5000 [3 per cell]  6 In 2.92, 6 Ag 3.15

Properties
Size of the total moment in μB/cell: 11.198
Crystal system: trigonal


Energy ordering: version i at the bottom, the next structure 3.5 kJ/mol of atoms above.


Version i
The following is a DFT calculation (PBEsol) of a geometry-optimized KCrAg2 structure.

Cell: 3.0593 3.0593 30.1796 Å, 90.00 90.00 120.00°
Closest atoms and distances in Å follow each position.
Space group R-3m (No. 166, hexagonal axes)
Unique sites:
1 K 0.0000 0.0000 0.0000 [3 per cell]  6 K 3.06, 6 Ag 3.36
2 Cr 0.0000 0.0000 0.5000 [3 per cell]  6 Ag 2.80, 6 Cr 3.06
3 Ag 0.0000 0.0000 0.2385 [6 per cell]  3 Cr 2.80, 6 Ag 3.06

Properties
Size of the total moment in μB/cell: 12.770
Crystal system: trigonal


Version ii
The following is a DFT calculation (PBEsol) of a geometry-optimized KCrAg2 structure.

Cell: 3.0281 4.5879 6.7815 Å, 90.00 96.05 90.00°
Closest atoms and distances in Å follow each position.
Space group Pm (No. 6)
Unique sites:
1 K 0.0000 0.0000 0.0000 [1 per cell]  2 K 3.03, 5 Ag 3.30-3.34
2 Cr 0.1435 0.5000 0.6142 [1 per cell]  6 Ag 2.71-2.83, 2 Cr 3.03
3 Ag 0.5656 0.5000 0.2803 [1 per cell]  2 Cr 2.71-2.72, 4 Ag 2.83-3.03
4 Ag 0.6130 0.0000 0.5260 [1 per cell]  4 Cr 2.80-2.83, 4 Ag 2.83-3.03

Properties
Size of the total moment in μB/cell: 4.581
Crystal system: monoclinic


Energy ordering: version ii at the bottom, the next structure 8.9 kJ/mol of atoms above.


Version i
The following is a DFT calculation (PBEsol) of a geometry-optimized La2CrAg structure.

Cell: 7.4953 3.2823 8.3744 Å, 90.00 97.18 90.00°
Closest atoms and distances in Å follow each position.
Space group C2/m (No. 12)
Unique sites:
1 La 0.2479 0.0000 0.2695 [4 per cell]  3 Cr 2.84-3.01, 1 Ag 3.12
2 Cr 0.0000 0.0000 0.5000 [2 per cell]  6 La 2.84-3.01
3 Ag 0.0000 0.5000 0.0000 [2 per cell]  6 La 3.12-3.19, 2 Ag 3.28

Properties
Size of the total moment in μB/cell: 5.686
Crystal system: monoclinic


Version ii
The following is a DFT calculation (PBEsol) of a geometry-optimized La2CrAg structure.

Cell: 5.2740 5.2740 3.6652 Å, 90.00 90.00 90.00°
Closest atoms and distances in Å follow each position.
Space group P4/mmm (No. 123)
Unique sites:
1 La 0.0000 0.5000 0.0000 [2 per cell]  4 Cr 3.21, 4 Ag 3.21
2 Cr 0.0000 0.0000 0.5000 [1 per cell]  8 La 3.21
3 Ag 0.5000 0.5000 0.5000 [1 per cell]  8 La 3.21

Properties
Size of the total moment in μB/cell: 3.392
Crystal system: tetragonal


Energy ordering: version ii at the bottom, the next structure 18.5 kJ/mol of atoms above.


Version i
The following is a DFT calculation (PBEsol) of a geometry-optimized CrAgMo2 structure.

Cell: 3.1243 3.1243 6.1257 Å, 90.00 90.00 90.00°
Closest atoms and distances in Å follow each position.
Space group P4mm (No. 99)
Unique sites:
1 Cr 0.0000 0.0000 0.0000 [1 per cell]  5 Mo 2.56-2.74, 4 Ag 2.73
2 Ag 0.5000 0.5000 0.7368 [1 per cell]  4 Cr 2.73, 5 Mo 2.83-2.90
3 Mo 0.0000 0.0000 0.4470 [1 per cell]  4 Mo 2.64, 1 Cr 2.74, 4 Ag 2.83
4 Mo 0.5000 0.5000 0.2109 [1 per cell]  4 Cr 2.56, 4 Mo 2.64

Properties
Size of the total moment in μB/cell: 1.570
Crystal system: tetragonal


Version ii
The following is a DFT calculation (PBEsol) of a geometry-optimized CrAgMo2 structure.

Cell: 5.4010 8.3537 2.5813 Å, 90.00 90.00 90.00°
Closest atoms and distances in Å follow each position.
Space group Cmmm (No. 65)
Unique sites:
1 Cr 0.0000 0.0000 0.0000 [2 per cell]  2 Cr 2.58, 2 Ag 2.70, 8 Mo 2.80
2 Ag 0.0000 0.5000 0.0000 [2 per cell]  2 Ag 2.58, 2 Cr 2.70, 8 Mo 2.80
3 Mo 0.2500 0.2500 0.5000 [4 per cell]  4 Mo 2.58-2.70, 4 Cr 2.80, 4 Ag 2.80

Properties
Size of the total moment in μB/cell: 0.004
Crystal system: orthorhombic


Energy ordering: version i at the bottom, the next structure 5.6 kJ/mol of atoms above.


Version i
The following is a DFT calculation (PBEsol) of a geometry-optimized NbCr3Ag2S8 structure.

Cell: 5.8718 6.7870 6.3281 Å, 90.00 91.63 90.00°
Closest atoms and distances in Å follow each position.
Space group P2/m (No. 10)
Unique sites:
1 Nb 0.0000 0.0000 0.0000 [1 per cell]  6 S 2.45-2.46
2 Cr 0.0000 0.5000 0.0000 [1 per cell]  6 S 2.33-2.37
3 Cr 0.5000 0.2442 0.0000 [2 per cell]  6 S 2.37-2.40
4 Ag 0.5000 0.2733 0.5000 [2 per cell]  6 S 2.57-2.73
5 S 0.1754 0.2588 0.2205 [4 per cell]  2 Cr 2.37-2.40, 1 Nb 2.45, 1 Ag 2.57
6 S 0.3259 0.5000 0.7984 [2 per cell]  3 Cr 2.33-2.37
7 S 0.3332 0.0000 0.7720 [2 per cell]  2 Cr 2.39, 1 Nb 2.46

Properties
Size of the total moment in μB/cell: 8.663
Crystal system: monoclinic


Version ii
The following is a DFT calculation (PBEsol) of a geometry-optimized NbCr3Ag2S8 structure.

Cell: 12.1426 7.1967 7.1002 Å, 90.00 124.14 90.00°
Closest atoms and distances in Å follow each position.
Space group C2 (No. 5)
Unique sites:
1 Nb 0.0000 0.0000 0.0000 [2 per cell]  6 S 2.37-2.58
2 Cr 0.0000 0.9573 0.5000 [2 per cell]  6 S 2.36-2.42
3 Cr 0.2462 0.2086 0.0018 [4 per cell]  6 S 2.37-2.41
4 Ag 0.1283 0.4810 0.3777 [4 per cell]  4 S 2.39-2.44
5 S 0.0070 0.2001 0.7421 [4 per cell]  1 Nb 2.37, 2 Cr 2.41-2.42, 1 Ag 2.44
6 S 0.0195 0.7415 0.7682 [4 per cell]  2 Cr 2.36-2.37, 1 Ag 2.39, 1 Nb 2.58
7 S 0.2347 0.9629 0.7670 [4 per cell]  3 Cr 2.38, 1 Ag 2.40
8 S 0.2416 0.9544 0.2128 [4 per cell]  2 Cr 2.39, 1 Ag 2.41, 1 Nb 2.45

Properties
Size of the total moment in μB/cell: 17.908
Crystal system: monoclinic


Energy ordering: version ii at the bottom, the next structure 1.6 kJ/mol of atoms above.


Version i
The following is a DFT calculation (PBEsol) of a geometry-optimized CrNiAg2 structure.

Cell: 2.6228 2.6228 7.9483 Å, 90.00 90.00 90.00°
Closest atoms and distances in Å follow each position.
Space group P4/mmm (No. 123)
Unique sites:
1 Cr 0.0000 0.0000 0.0000 [1 per cell]  4 Cr 2.62, 8 Ag 2.77
2 Ni 0.0000 0.0000 0.5000 [1 per cell]  4 Ni 2.62, 8 Ag 2.67
3 Ag 0.5000 0.5000 0.2585 [2 per cell]  4 Ag 2.62, 4 Ni 2.67, 4 Cr 2.77

Properties
Size of the total moment in μB/cell: 0.627
Crystal system: tetragonal


Version ii
The following is a DFT calculation (PBEsol) of a geometry-optimized CrNiAg2 structure.

Cell: 3.8807 3.8807 7.6417 Å, 90.00 90.00 90.00°
Closest atoms and distances in Å follow each position.
Space group I-4m2 (No. 119)
Unique sites:
1 Cr 0.0000 0.0000 0.0000 [2 per cell]  4 Ni 2.72, 8 Ag 2.72-2.74
2 Ni 0.0000 0.5000 0.2500 [2 per cell]  4 Cr 2.72, 8 Ag 2.72-2.74
3 Ag 0.0000 0.0000 0.5000 [2 per cell]  4 Ni 2.72, 4 Ag 2.72, 4 Cr 2.74
4 Ag 0.0000 0.5000 0.7500 [2 per cell]  4 Ag 2.72, 4 Cr 2.72, 4 Ni 2.74

Properties
Size of the total moment in μB/cell: 7.400
Crystal system: tetragonal


Energy ordering: version ii at the bottom, the next structure 12.7 kJ/mol of atoms above.